# 1
VASP calculation (PBE) on Sm2Pb2O5 after structural relaxation.

Calculated values
Space group: P4/mmm, No. 123
Calculated total energy: -59.83 eV/cell

```
9
Lattice="-3.4789 2.6879 7.0571 -1.6575 -4.0012 0.7069 3.6247 -1.1111 2.2100" Properties=species:S:1:pos:R:3 pbc="T T T"
O -1.4685 -1.5064 1.6511
O -3.6680 0.1931 6.1129
O 1.1726 -0.0613 2.4027
O -1.0269 1.6382 6.8644
O -0.7559 -1.2122 4.9870
Pb 0.0000 0.0000 0.0000
Pb -1.7394 1.3440 3.5285
Sm 0.1439 -1.9074 3.1618
Sm -1.6556 -0.5170 6.8122
```

---

# 2
VASP calculation (PBE) on SmPbO3 after structural relaxation.

Calculated values
Space group: Imma, No. 74
Calculated total energy: -66.75 eV/cell

```
10
Lattice="4.7882 -1.4390 3.5307 -0.4097 5.3458 -2.9527 -3.5730 -1.1603 4.8323" Properties=species:S:1:pos:R:3 pbc="T T T"
O -0.0161 2.2690 -0.1769
O 1.7600 0.6495 2.2830
O 2.8129 -1.6152 4.6474
O -1.5977 -0.9840 3.7156
O -0.9545 2.0970 3.1273
O 0.8215 0.4775 5.5872
Pb 2.1892 1.9534 0.2890
Pb -1.9914 2.0928 0.9398
Sm -0.3147 4.5097 -0.8895
Sm 1.1202 -1.7632 6.2998
```

---

# 3
VASP calculation (PBE) on SmPbO3 after structural relaxation.

Calculated values
Space group: Pm-3m, No. 221
Calculated total energy: -30.08 eV/cell

```
5
Lattice="4.2744 0.0000 0.0000 0.0000 4.2744 0.0000 0.0000 0.0000 4.2703" Properties=species:S:1:pos:R:3 pbc="T T T"
O 2.1372 0.0000 0.0000
O 0.0000 2.1372 0.0000
O 0.0000 0.0000 2.1351
Pb 0.0000 0.0000 0.0000
Sm 2.1372 2.1372 2.1351
```

---

# 4
VASP calculation (PBE) on SmPbO3 after structural relaxation.

Calculated values
Space group: Pnma, No. 62
Calculated total energy: -134.34 eV/cell

```
20
Lattice="6.1476 0.0000 0.0000 0.0000 8.4464 0.0000 0.0000 0.0000 5.7928" Properties=species:S:1:pos:R:3 pbc="T T T"
O 0.5561 6.3348 0.9493
O 1.9288 0.6620 1.0551
O 1.9288 3.5612 1.0551
O 5.0026 0.6620 1.8414
O 5.0026 3.5612 1.8414
O 3.6299 6.3348 1.9471
O 2.5178 2.1116 3.8457
O 1.1450 4.8852 3.9514
O 1.1450 7.7844 3.9514
O 4.2188 4.8852 4.7377
O 4.2188 7.7844 4.7377
O 5.5916 2.1116 4.8435
Pb 0.0000 0.0000 0.0000
Pb 0.0000 4.2232 0.0000
Pb 3.0738 0.0000 2.8964
Pb 3.0738 4.2232 2.8964
Sm 3.4561 2.1116 0.1084
Sm 0.3823 2.1116 2.7880
Sm 5.7654 6.3348 3.0048
Sm 2.6915 6.3348 5.6844
```

---

# 5
VASP calculation (PBE) on SmTaPb2O6 after structural relaxation.

Calculated values
Space group: P-1, No. 2
Calculated total energy: -75.31 eV/cell

```
10
Lattice="5.3095 0.0000 0.0000 -1.2827 5.2427 0.0000 -0.3062 -0.6822 5.6065" Properties=species:S:1:pos:R:3 pbc="T T T"
O 0.4124 3.7525 0.1504
O 2.8260 3.7769 1.4163
O 1.2242 1.4392 1.4757
O 2.4964 3.1214 4.1308
O 0.8947 0.7836 4.1902
O 3.3082 0.8080 5.4561
Pb 0.5371 3.3803 2.6221
Pb 3.1836 1.1802 2.9844
Sm 0.0000 0.0000 0.0000
Ta 2.0134 2.6214 0.0000
```

---

# 6
VASP calculation (PBE) on SmZn3Pb4O12 after structural relaxation.

Calculated values
Space group: Im-3, No. 204
Calculated total energy: -107.19 eV/cell

```
20
Lattice="1.9187 -6.5060 1.7135 -3.3648 2.9340 5.3865 -4.2374 -0.2071 -5.5630" Properties=species:S:1:pos:R:3 pbc="T T T"
O -2.8493 0.4614 4.2476
O -0.8102 -2.1592 1.5358
O -1.3793 -3.5650 4.3301
O -0.1546 -5.1066 0.5219
O -2.5369 0.2543 1.0846
O -1.9217 -1.5984 -1.1955
O -3.7618 -2.1807 2.7325
O -5.5289 1.3275 1.0152
O -3.1465 -4.0333 0.4524
O -4.3042 -0.2141 -2.7931
O -4.8733 -1.6199 0.0012
O -2.8342 -4.2404 -2.7106
Pb 0.9594 -3.2530 0.8567
Pb -1.6824 1.4670 2.6933
Pb -2.1187 -0.1036 -2.7815
Pb -2.8417 -1.8895 0.7685
Sm 0.0000 0.0000 0.0000
Zn -0.7230 -1.7860 3.5500
Zn -1.1593 -3.3565 -1.9248
Zn -3.8011 1.3635 -0.0882
```

---

# 7
VASP calculation (PBE) on Sm2ZrPbO6 after structural relaxation.

Calculated values
Space group: Fm-3m, No. 225
Calculated total energy: -72.05 eV/cell

```
10
Lattice="0.0000 4.2507 4.2507 4.2507 0.0000 4.2507 4.2507 4.2507 0.0000" Properties=species:S:1:pos:R:3 pbc="T T T"
O 4.2507 2.2107 4.2507
O 2.2107 4.2507 4.2507
O 4.2507 4.2507 6.2906
O 4.2507 6.2906 4.2507
O 4.2507 4.2507 2.2107
O 6.2906 4.2507 4.2507
Pb 0.0000 0.0000 0.0000
Sm 2.1253 2.1253 2.1253
Sm 6.3760 6.3760 6.3760
Zr 4.2507 4.2507 4.2507
```

---

# 8
VASP calculation (PBE) on TaSnPb2O6 after structural relaxation.

Calculated values
Space group: I4/mmm, No. 139
Calculated total energy: -69.80 eV/cell
Offset from the most stable computed form: 45 meV per atom

```
10
Lattice="5.6182 -0.4780 1.3020 0.6009 5.7391 -0.4348 -3.9963 -2.2368 3.5375" Properties=species:S:1:pos:R:3 pbc="T T T"
O 1.5240 1.2892 0.2125
O 4.3880 1.0464 0.8761
O 1.8311 4.2147 -0.0090
O 4.6951 3.9719 0.6547
O -0.4349 0.1931 1.9474
O 2.6576 2.8312 2.4573
Pb 2.3657 -0.0421 2.6365
Pb -0.1429 3.0664 1.7681
Sn 3.1095 2.6306 0.4336
Ta 0.0000 0.0000 0.0000
```

---

no.,total moment (μB per cell)
1,0.0
2,0.0
3,0.0
4,0.0
5,0.0
6,0.0
7,0.0
8,0.0